Density functional theory data (PBE+U) for a relaxed structure of CoP2HO.

Unit cell a=3.443 b=3.443 c=4.406 alpha=90.00 beta=90.00 gamma=90.00
Fractional coordinates of all 5 atoms:
Co: 0.000 0.000 0.000
P: 0.000 0.500 0.500
P: 0.500 0.000 0.500
H: 0.500 0.500 0.500
O: 0.500 0.500 0.000

Calculated values
**M_tot**: 1.7 μB per cell
**E_tot**: -20.89 eV/cell
**Fermi-level density of states**: 0.484 states/eV per atom